[1]
# Ba3BBr

Crystalline Ba3BBr at its relaxed geometry (PBE-GGA, Alexandria via LeMat-Bulk).

Geometry as CIF:
```
data_Ba3BBr
_cell_length_a 6.0127
_cell_length_b 6.0127
_cell_length_c 6.0127
_cell_angle_alpha 90.00
_cell_angle_beta 90.00
_cell_angle_gamma 90.00
_symmetry_space_group_name_H-M 'P 1'
_symmetry_Int_Tables_number 1
_symmetry_space_group_name_Hall 'P 1'
loop_
_atom_site_label
_atom_site_type_symbol
_atom_site_fract_x
_atom_site_fract_y
_atom_site_fract_z
Ba1 Ba 0.0000 0.0000 0.5000
Ba2 Ba 0.0000 0.5000 0.0000
Ba3 Ba 0.5000 0.0000 0.0000
B1 B 0.0000 0.0000 0.0000
Br1 Br 0.5000 0.5000 0.5000
```

Summary:
The calculation puts the offset from the most stable computed form at 0 meV per atom. The value obtained for the uncorrected formation energy is -0.48 eV/f.u. The total magnetic moment is 0.0000 μB/atom. The volume is 217.4 Å³ per cell. As for the symmetry: Pm-3m. Its mass density is 3.84 Mg/m³. Its density of states at the Fermi level is 4.58 states/eV/cell.

***

[2]
# ThPaSi2Pt2

Crystalline ThPaSi2Pt2 at its relaxed geometry (PBE-GGA, Alexandria via LeMat-Bulk).

Geometry as CIF:
```
data_ThPaSi2Pt2
_cell_length_a 4.2263
_cell_length_b 4.2263
_cell_length_c 7.9927
_cell_angle_alpha 90.00
_cell_angle_beta 90.00
_cell_angle_gamma 120.00
_symmetry_space_group_name_H-M 'P 1'
_symmetry_Int_Tables_number 1
_symmetry_space_group_name_Hall 'P 1'
loop_
_atom_site_label
_atom_site_type_symbol
_atom_site_fract_x
_atom_site_fract_y
_atom_site_fract_z
Th1 Th 0.0000 0.0000 0.0000
Pa1 Pa 0.0000 0.0000 0.5000
Si1 Si 0.3333 0.6667 0.7560
Si2 Si 0.6667 0.3333 0.2440
Pt1 Pt 0.3333 0.6667 0.2787
Pt2 Pt 0.6667 0.3333 0.7213
```

Summary:
The value obtained for the uncorrected formation energy is -6.52 eV/f.u. The total magnetic moment is 0.0000 μB/atom. The volume is 123.6 Å³ per cell. As for the symmetry: P-3m1. Its mass density is 12.21 Mg/m³. Its density of states at the Fermi level is 6.00 states/eV/cell.

***

[3]
# Tb2Sm5Ru4

Crystalline Tb2Sm5Ru4 at its relaxed geometry (PBE-GGA, Alexandria via LeMat-Bulk).

Geometry as CIF:
```
data_Tb2Sm5Ru4
_cell_length_a 11.1156
_cell_length_b 11.1156
_cell_length_c 7.4957
_cell_angle_alpha 95.59
_cell_angle_beta 95.59
_cell_angle_gamma 18.28
_symmetry_space_group_name_H-M 'P 1'
_symmetry_Int_Tables_number 1
_symmetry_space_group_name_Hall 'P 1'
loop_
_atom_site_label
_atom_site_type_symbol
_atom_site_fract_x
_atom_site_fract_y
_atom_site_fract_z
Tb1 Tb 0.0734 0.0734 0.4436
Tb2 Tb 0.9266 0.9266 0.5564
Sm1 Sm 0.0000 0.0000 0.0000
Sm2 Sm 0.2893 0.2893 0.6915
Sm3 Sm 0.3488 0.3488 0.1623
Sm4 Sm 0.6512 0.6512 0.8377
Sm5 Sm 0.7107 0.7107 0.3085
Ru1 Ru 0.3979 0.3979 0.8503
Ru2 Ru 0.4706 0.4706 0.2981
Ru3 Ru 0.5294 0.5294 0.7019
Ru4 Ru 0.6021 0.6021 0.1497
```

Summary:
The total magnetic moment is 0.0000 μB/atom. The volume is 289.1 Å³ per cell. As for the calculated formation energy: -0.29 eV per formula unit. As for the symmetry: C2/m. Its mass density is 8.47 Mg/m³. Its density of states at the Fermi level is 10.06 states/eV/cell.